(1)
## ReRh3 (PBE)

Data for a geometry-optimized ReRh3 structure.

The structure belongs to space group Cmmm (No. 65); the cell edges are 5.4285, 10.8744 and 3.8836 Å and the angles 90.00°, 90.00° and 90.00°. The distinct sites, in fractional coordinates, are Re at (0.0000, 0.1196, 0.0000), Rh at (0.0000, 0.3686, 0.0000), Rh at (0.2428, 0.0000, 0.5000) and Rh at (0.2500, 0.2500, 0.5000).

The calculation puts the offset from the most stable computed form at 3.1 kJ/mol of atoms. The formation energy comes out at -0.31 eV per formula unit.

---

(2)
## Re4Rh (PBE)

Data for a geometry-optimized Re4Rh structure.

The structure belongs to space group I4/m (No. 87); the cell edges are 6.1461, 6.1461 and 3.9275 Å and the angles 90.00°, 90.00° and 90.00°. The distinct sites, in fractional coordinates, are Re at (0.0991, 0.2986, 0.0000) and Rh at (0.0000, 0.0000, 0.5000).

The calculation puts the offset from the most stable computed form at 0.0 kJ/mol of atoms. The formation energy comes out at 0.06 eV per formula unit.

---

(3)
## ReRh2 (PBE)

Data for a geometry-optimized ReRh2 structure.

The structure belongs to space group P2/m (No. 10); the cell edges are 4.7576, 2.7180 and 6.6744 Å and the angles 90.00°, 91.07° and 90.00°. The distinct sites, in fractional coordinates, are Re at (0.1653, 0.0000, 0.1626), Rh at (0.0000, 0.5000, 0.5000), Rh at (0.3273, 0.5000, 0.8392) and Rh at (0.5000, 0.0000, 0.5000).

The calculation puts the offset from the most stable computed form at 10.5 kJ/mol of atoms. The formation energy comes out at -0.19 eV per formula unit.

---

(4)
## Re5Rh3 (PBE)

Data for a geometry-optimized Re5Rh3 structure.

The structure belongs to space group P-1 (No. 2); the cell edges are 4.7486, 4.7619 and 5.5287 Å and the angles 107.49°, 90.14° and 100.15°. The distinct sites, in fractional coordinates, are Re at (0.0000, 0.0000, 0.0000), Re at (0.2519, 0.5055, 0.3745), Re at (0.4951, 0.0078, 0.2521), Rh at (0.0000, 0.0000, 0.5000) and Rh at (0.2420, 0.4992, 0.8746).

The calculation puts the offset from the most stable computed form at 10.1 kJ/mol of atoms. The formation energy comes out at -0.29 eV per formula unit.

---

(5)
## ReRh2 (PBE)

Data for a geometry-optimized ReRh2 structure.

The structure belongs to space group Cm (No. 8); the cell edges are 10.0531, 2.7377 and 6.4639 Å and the angles 90.00°, 104.40° and 90.00°. The distinct sites, in fractional coordinates, are Re at (0.0000, 0.0000, 0.0000), Re at (0.1688, 0.5000, 0.3326), Rh at (0.0592, 0.0000, 0.6070), Rh at (0.2190, 0.5000, 0.9476), Rh at (0.3358, 0.0000, 0.6726) and Rh at (0.3917, 0.0000, 0.2777).

The calculation puts the offset from the most stable computed form at 8.0 kJ/mol of atoms. The formation energy comes out at -0.27 eV per formula unit.

---

(6)
## Re5Rh3 (PBE)

Data for a geometry-optimized Re5Rh3 structure.

The structure belongs to space group P4/mmm (No. 123); the cell edges are 3.2619, 3.2619 and 11.3082 Å and the angles 90.00°, 90.00° and 90.00°. The distinct sites, in fractional coordinates, are Re at (0.0000, 0.0000, 0.0000), Re at (0.0000, 0.0000, 0.2535), Re at (0.5000, 0.5000, 0.3638), Rh at (0.0000, 0.0000, 0.5000) and Rh at (0.5000, 0.5000, 0.1181).

The calculation puts the offset from the most stable computed form at 41.7 kJ/mol of atoms. The formation energy comes out at 2.32 eV per formula unit.

---

(7)
## ReRh3 (PBE)

Data for a geometry-optimized ReRh3 structure.

The structure belongs to space group Cmmm (No. 65); the cell edges are 5.4376, 7.7565 and 2.7091 Å and the angles 90.00°, 90.00° and 90.00°. The distinct sites, in fractional coordinates, are Re at (0.0000, 0.0000, 0.0000), Rh at (0.0000, 0.5000, 0.0000) and Rh at (0.2500, 0.2500, 0.5000).

The calculation puts the offset from the most stable computed form at 6.7 kJ/mol of atoms. The formation energy comes out at -0.16 eV per formula unit.

---

(8)
## Re3Rh (PBE)

Data for a geometry-optimized Re3Rh structure.

The structure belongs to space group C2/m (No. 12); the cell edges are 12.0064, 2.7584 and 9.1359 Å and the angles 90.00°, 128.51° and 90.00°. The distinct sites, in fractional coordinates, are Re at (0.0648, 0.0000, 0.1874), Re at (0.1837, 0.5000, 0.0605), Re at (0.1867, 0.0000, 0.5630) and Rh at (0.0631, 0.5000, 0.6867).

The formation energy comes out at 0.03 eV per formula unit.

---

(9)
## Re3Rh5 (PBE)

Data for a geometry-optimized Re3Rh5 structure.

The structure belongs to space group P4mm (No. 99); the cell edges are 2.7328, 2.7328 and 15.4997 Å and the angles 90.00°, 90.00° and 90.00°. The distinct sites, in fractional coordinates, are Re at (0.0000, 0.0000, 0.0000), Re at (0.0000, 0.0000, 0.2536), Re at (0.5000, 0.5000, 0.3786), Rh at (0.0000, 0.0000, 0.5011), Rh at (0.0000, 0.0000, 0.7486), Rh at (0.5000, 0.5000, 0.1264), Rh at (0.5000, 0.5000, 0.6296) and Rh at (0.5000, 0.5000, 0.8797).

The calculation puts the offset from the most stable computed form at 10.6 kJ/mol of atoms. The formation energy comes out at -0.28 eV per formula unit.

---

(10)
## ReRh3 (PBE)

Data for a geometry-optimized ReRh3 structure.

The structure belongs to space group Pm-3n (No. 223); the cell edges are 4.8959, 4.8959 and 4.8959 Å and the angles 90.00°, 90.00° and 90.00°. The distinct sites, in fractional coordinates, are Re at (0.0000, 0.0000, 0.0000) and Rh at (0.0000, 0.2500, 0.5000).

The calculation puts the offset from the most stable computed form at 25.2 kJ/mol of atoms. The formation energy comes out at 0.60 eV per formula unit.

---

(11)
## Re5Rh3 (PBE)

Data for a geometry-optimized Re5Rh3 structure.

The structure belongs to space group I4mm (No. 107); the cell edges are 4.6001, 4.6001 and 11.2536 Å and the angles 90.00°, 90.00° and 90.00°. The distinct sites, in fractional coordinates, are Re at (0.0000, 0.0000, 0.0000), Re at (0.0000, 0.0000, 0.2462), Re at (0.0000, 0.0000, 0.5058), Re at (0.0000, 0.5000, 0.3753), Rh at (0.0000, 0.0000, 0.7456) and Rh at (0.0000, 0.5000, 0.1251).

The calculation puts the offset from the most stable computed form at 37.4 kJ/mol of atoms. The formation energy comes out at 1.97 eV per formula unit.

---

(12)
## ReRh2 (PBE)

Data for a geometry-optimized ReRh2 structure.

The structure belongs to space group I4_1/amd (No. 141, origin choice 2); the cell edges are 2.7468, 2.7468 and 23.9186 Å and the angles 90.00°, 90.00° and 90.00°. The distinct sites, in fractional coordinates, are Re at (0.0000, 0.2500, 0.3750) and Rh at (0.0000, 0.2500, 0.7987).

The calculation puts the offset from the most stable computed form at 17.5 kJ/mol of atoms. The formation energy comes out at 0.03 eV per formula unit.

---

(13)
## Re3Rh (PBE)

Data for a geometry-optimized Re3Rh structure.

The structure belongs to space group P2_1/m (No. 11); the cell edges are 5.5088, 3.9082 and 6.1479 Å and the angles 90.00°, 116.33° and 90.00°. The distinct sites, in fractional coordinates, are Re at (0.0618, 0.2500, 0.3694), Re at (0.1897, 0.7500, 0.1290), Re at (0.3145, 0.2500, 0.8696) and Rh at (0.4379, 0.7500, 0.6261).

The formation energy comes out at 0.01 eV per formula unit.

---

(14)
## Re3Rh4 (PBE)

Data for a geometry-optimized Re3Rh4 structure.

The structure belongs to space group I4/mmm (No. 139); the cell edges are 3.2631, 3.2631 and 19.3454 Å and the angles 90.00°, 90.00° and 90.00°. The distinct sites, in fractional coordinates, are Re at (0.0000, 0.0000, 0.0000), Re at (0.0000, 0.0000, 0.2879), Rh at (0.0000, 0.0000, 0.1429) and Rh at (0.0000, 0.0000, 0.4289).

The calculation puts the offset from the most stable computed form at 6.3 kJ/mol of atoms. The formation energy comes out at 1.45 eV per formula unit.

---

(15)
## Re3Rh2 (PBE)

Data for a geometry-optimized Re3Rh2 structure.

The structure belongs to space group P-3m1 (No. 164); the cell edges are 4.1630, 4.1630 and 5.5334 Å and the angles 90.00°, 90.00° and 120.00°. The distinct sites, in fractional coordinates, are Re at (0.0000, 0.0000, 0.0000), Re at (0.3333, 0.6667, 0.4071) and Rh at (0.3333, 0.6667, 0.8721).

The calculation puts the offset from the most stable computed form at 70.1 kJ/mol of atoms. The formation energy comes out at 3.45 eV per formula unit.

---

(16)
## Re5Rh3 (PBE)

Data for a geometry-optimized Re5Rh3 structure.

The structure belongs to space group I4/mmm (No. 139); the cell edges are 3.8625, 3.8625 and 15.6655 Å and the angles 90.00°, 90.00° and 90.00°. The distinct sites, in fractional coordinates, are Re at (0.0000, 0.0000, 0.0000), Re at (0.0000, 0.5000, 0.1243), Rh at (0.0000, 0.0000, 0.2510) and Rh at (0.0000, 0.0000, 0.5000).

The calculation puts the offset from the most stable computed form at 8.7 kJ/mol of atoms. The formation energy comes out at -0.41 eV per formula unit.

---

(17)
## Re3Rh (PBE)

Data for a geometry-optimized Re3Rh structure.

The structure belongs to space group Pmm2 (No. 25); the cell edges are 2.7575, 4.4350 and 4.8132 Å and the angles 90.00°, 90.00° and 90.00°. The distinct sites, in fractional coordinates, are Re at (0.0000, 0.0000, 0.0000), Re at (0.0000, 0.5000, 0.3294), Re at (0.5000, 0.0000, 0.5011) and Rh at (0.5000, 0.5000, 0.8388).

The formation energy comes out at -0.40 eV per formula unit.

---

(18)
## Re5Rh3 (PBE)

Data for a geometry-optimized Re5Rh3 structure.

The structure belongs to space group Amm2 (No. 38); the cell edges are 2.7489, 8.8071 and 9.6280 Å and the angles 90.00°, 90.00° and 90.00°. The distinct sites, in fractional coordinates, are Re at (0.0000, 0.0000, 0.0000), Re at (0.0000, 0.0000, 0.4979), Re at (0.0000, 0.2467, 0.3343), Re at (0.5000, 0.0000, 0.2509), Rh at (0.5000, 0.0000, 0.7495) and Rh at (0.5000, 0.2503, 0.0813).

The calculation puts the offset from the most stable computed form at 0.0 kJ/mol of atoms. The formation energy comes out at -1.13 eV per formula unit.

---

(19)
## ReRh5 (PBE)

Data for a geometry-optimized ReRh5 structure.

The structure belongs to space group P4/mmm (No. 123); the cell edges are 3.2746, 3.2746 and 8.1669 Å and the angles 90.00°, 90.00° and 90.00°. The distinct sites, in fractional coordinates, are Re at (0.0000, 0.0000, 0.0000), Rh at (0.0000, 0.0000, 0.3311), Rh at (0.5000, 0.5000, 0.1631) and Rh at (0.5000, 0.5000, 0.5000).

The calculation puts the offset from the most stable computed form at 26.9 kJ/mol of atoms. The formation energy comes out at 1.21 eV per formula unit.

---

(20)
## Re3Rh (PBE)

Data for a geometry-optimized Re3Rh structure.

The structure belongs to space group P-6m2 (No. 187); the cell edges are 2.7694, 2.7694 and 8.8868 Å and the angles 90.00°, 90.00° and 120.00°. The distinct sites, in fractional coordinates, are Re at (0.0000, 0.0000, 0.0000), Re at (0.6667, 0.3333, 0.2515) and Rh at (0.0000, 0.0000, 0.5000).

The formation energy comes out at -0.26 eV per formula unit.

---

| no. | DFT total energy (eV/atom) | total magnetization (μB/atom) |
| --- | --- | --- |
| 1 | -8.70 | 0.000 |
| 2 | -11.42 | 0.000 |
| 3 | -9.11 | 0.000 |
| 4 | -10.57 | 0.000 |
| 5 | -9.14 | 0.000 |
| 6 | -10.25 | 0.043 |
| 7 | -8.67 | 0.000 |
| 8 | -11.17 | 0.000 |
| 9 | -9.30 | 0.000 |
| 10 | -8.48 | 0.000 |
| 11 | -10.29 | 0.000 |
| 12 | -9.04 | 0.000 |
| 13 | -11.17 | 0.000 |
| 14 | -9.33 | 0.000 |
| 15 | -9.72 | 0.000 |
| 16 | -10.59 | 0.000 |
| 17 | -11.27 | 0.000 |
| 18 | -10.68 | 0.000 |
| 19 | -8.00 | 0.000 |
| 20 | -11.24 | 0.000 |